[1]
A geometry-optimized PuSn5Te7 structure. Source: Alexandria via LeMat-Bulk, functional GGA-PBE.

The value obtained for the formation energy (no corrections) is -0.39 eV/atom. Its crystal system is monoclinic.

Cell lengths 4.4012, 7.8079, 26.1425 Å; angles 89.98, 90.00, 106.37 degrees
Last column: nearest neighbours and their distance in Å.
Fractional coordinates of all 26 atoms:
Pu (0.7958, 0.5916, 0.2632)  7 Te 3.12-3.32
Pu (0.2052, 0.4103, 0.7632)  7 Te 3.12-3.32
Sn (0.0146, 0.0293, 0.0028)  5 Te 3.03-3.19
Sn (0.7437, 0.4873, 0.9260)  6 Te 3.04-3.23
Sn (0.2910, 0.5820, 0.0752)  6 Te 3.08-3.23
Sn (0.5260, 0.0521, 0.3501)  6 Te 3.01-3.27
Sn (0.4370, 0.8740, 0.6498)  6 Te 3.12-3.22
Sn (0.9856, 0.9712, 0.5027)  5 Te 3.03-3.19
Sn (0.2566, 0.5132, 0.4260)  6 Te 3.04-3.23
Sn (0.7094, 0.4188, 0.5752)  6 Te 3.08-3.23
Sn (0.4746, 0.9491, 0.8500)  6 Te 3.01-3.27
Sn (0.5638, 0.1275, 0.1498)  6 Te 3.11-3.21
Te (0.4406, 0.8812, 0.2458)  2 Sn 3.01-3.11, 2 Pu 3.12
Te (0.5603, 0.1206, 0.7458)  2 Sn 3.01-3.12, 2 Pu 3.12
Te (0.6521, 0.3043, 0.0378)  6 Sn 3.15-3.23
Te (0.3777, 0.7554, 0.9623)  6 Sn 3.13-3.27
Te (0.3483, 0.6965, 0.5378)  6 Sn 3.15-3.23
Te (0.6227, 0.2455, 0.4622)  6 Sn 3.12-3.27
Te (0.2072, 0.4143, 0.1826)  3 Sn 3.08-3.19, 2 Pu 3.32
Te (0.8252, 0.6504, 0.8196)  3 Sn 3.04-3.24, 2 Pu 3.20
Te (0.7934, 0.5868, 0.6826)  3 Sn 3.08-3.19, 2 Pu 3.32
Te (0.1756, 0.3512, 0.3195)  3 Sn 3.04-3.24, 2 Pu 3.20
Te (0.9287, 0.8574, 0.1076)  5 Sn 3.03-3.19
Te (0.1159, 0.2319, 0.8774)  4 Sn 3.14-3.18, 1 Pu 3.27
Te (0.0717, 0.1434, 0.6075)  5 Sn 3.03-3.18
Te (0.8847, 0.7694, 0.3774)  4 Sn 3.14-3.18, 1 Pu 3.27



[2]
A geometry-optimized YGa2Rh2 structure. Source: Alexandria via LeMat-Bulk, functional GGA-PBE.

As for the energy of formation from the pure elements: -66.6 kJ per mole of atoms. Its crystal system is tetragonal.

Cell lengths 7.5221, 7.5221, 2.9461 Å; angles 90.00, 90.00, 90.00 degrees
Last column: nearest neighbours and their distance in Å.
Fractional coordinates of all 10 atoms:
Y (0.0000, 0.0000, 0.0000)  2 Y 2.95, 4 Ga 2.99, 8 Rh 3.14
Y (0.5000, 0.5000, 0.0000)  2 Y 2.95, 4 Ga 2.99, 8 Rh 3.14
Rh (0.1772, 0.6772, 0.5000)  6 Ga 2.60-2.72
Rh (0.6772, 0.8228, 0.5000)  6 Ga 2.60-2.72
Rh (0.8228, 0.3228, 0.5000)  6 Ga 2.60-2.72
Rh (0.3228, 0.1772, 0.5000)  6 Ga 2.60-2.72
Ga (0.3791, 0.8791, 0.0000)  1 Ga 2.57, 6 Rh 2.60-2.72
Ga (0.8791, 0.6209, 0.0000)  1 Ga 2.57, 6 Rh 2.60-2.72
Ga (0.6209, 0.1209, 0.0000)  1 Ga 2.57, 6 Rh 2.60-2.72
Ga (0.1209, 0.3791, 0.0000)  1 Ga 2.57, 6 Rh 2.60-2.72



[3]
A geometry-optimized CsBaF2 structure. Source: Alexandria via LeMat-Bulk, functional GGA-PBE.

The value obtained for the formation energy (no corrections) is -2.23 eV/atom. The excess energy over the best structure of this formula in the dataset comes out at 306 meV per atom. Its crystal system is cubic.

Cell lengths 5.0661, 5.0661, 5.0661 Å; angles 60.00, 60.00, 60.00 degrees
Last column: nearest neighbours and their distance in Å.
Fractional coordinates of all 4 atoms:
Cs (0.0000, 0.0000, 0.0000)  8 F 3.10
Ba (0.5000, 0.5000, 0.5000)  8 F 3.10
F (0.2500, 0.2500, 0.2500)  4 Ba 3.10, 4 Cs 3.10
F (0.7500, 0.7500, 0.7500)  4 Ba 3.10, 4 Cs 3.10



[4]
A geometry-optimized Ca3CdPb4 structure. Source: Alexandria via LeMat-Bulk, functional GGA-PBE.

As for the energy of formation from the pure elements: -30.9 kJ per mole of atoms. Its crystal system is triclinic.

Cell lengths 4.7136, 4.6122, 12.0273 Å; angles 79.35, 78.63, 89.99 degrees
Last column: nearest neighbours and their distance in Å.
Fractional coordinates of all 8 atoms:
Pb (0.0975, 0.5936, 0.8088)  1 Pb 3.05, 2 Cd 3.19-3.20, 6 Ca 3.23-3.39
Pb (0.9025, 0.4064, 0.1912)  1 Pb 3.05, 2 Cd 3.19-3.20, 6 Ca 3.23-3.39
Pb (0.2279, 0.7270, 0.5455)  1 Pb 3.05, 1 Ca 3.31
Pb (0.7721, 0.2730, 0.4545)  1 Pb 3.05, 1 Ca 3.31
Ca (0.6318, 0.1263, 0.7402)  5 Pb 3.31-3.39
Ca (0.3682, 0.8737, 0.2598)  5 Pb 3.31-3.39
Ca (0.5000, 0.5000, 0.0000)  4 Pb 3.23-3.24, 4 Cd 3.30
Cd (0.0000, 0.0000, 0.0000)  4 Pb 3.19-3.20, 4 Ca 3.30



[5]
A geometry-optimized NdBeP structure. Source: Alexandria via LeMat-Bulk, functional GGA-PBE.

As for the energy of formation from the pure elements: -66.8 kJ per mole of atoms. The excess energy over the best structure of this formula in the dataset comes out at 294 meV per atom. Its crystal system is orthorhombic.

Cell lengths 3.6868, 5.8800, 10.2503 Å; angles 90.00, 90.00, 90.00 degrees
Last column: nearest neighbours and their distance in Å.
Fractional coordinates of all 12 atoms:
Nd (0.7500, 0.7442, 0.4275)  4 Be 2.75-2.85
Nd (0.2500, 0.2442, 0.0725)  4 Be 2.75-2.85
Nd (0.2500, 0.2558, 0.5725)  4 Be 2.75-2.85
Nd (0.7500, 0.7558, 0.9275)  4 Be 2.75-2.85
P (0.7500, 0.2608, 0.8249)  3 Be 2.20-2.26
P (0.2500, 0.7608, 0.6751)  3 Be 2.20-2.26
P (0.2500, 0.7392, 0.1751)  3 Be 2.20-2.26
P (0.7500, 0.2392, 0.3249)  3 Be 2.20-2.26
Be (0.7500, 0.9424, 0.1842)  3 P 2.20-2.26
Be (0.2500, 0.4424, 0.3158)  3 P 2.20-2.26
Be (0.2500, 0.0576, 0.8158)  3 P 2.20-2.26
Be (0.7500, 0.5576, 0.6842)  3 P 2.20-2.26



[6]
A geometry-optimized NaYZrW structure. Source: Alexandria via LeMat-Bulk, functional GGA-PBE.

As for the energy of formation from the pure elements: 27.5 kJ per mole of atoms. The excess energy over the best structure of this formula in the dataset comes out at 0 meV per atom. Its crystal system is monoclinic.

Cell lengths 3.4110, 3.4109, 9.0811 Å; angles 90.00, 90.06, 90.00 degrees
Last column: nearest neighbours and their distance in Å.
Fractional coordinates of all 4 atoms:
Na (0.3549, 0.5000, 0.2707)  4 Na 3.41, 4 Zr 3.65
Y (0.8565, 0.0000, 0.9349)  4 W 3.04, 1 Zr 3.30
Zr (0.8554, 0.0000, 0.5719)  4 W 2.81
W (0.3561, 0.5000, 0.7313)  4 Zr 2.81, 4 Y 3.04



no.,total DFT energy (no corrections) (eV/atom)
1,-4.724
2,-6.134
3,-3.856
4,-3.039
5,-5.327
6,-7.036